Entry 1:
VASP calculation (PBE) on a geometry-optimized YTiTc3 structure.

POSCAR file:
```
YTiTc3
1.0
-2.490 -3.890 -0.208
3.292 -2.233 2.356
-2.083 1.121 3.972
Y Tc Ti
1 3 1
Direct
0.500 0.500 0.500
0.000 0.500 0.000
0.000 0.000 0.500
0.500 0.000 0.000
0.000 0.000 0.000
```

Values from the calculation:
* offset from the most stable computed form: 0 meV per atom
* ΔH_f (0 K): 3.6 eV per formula unit
* SG: Pm-3m
* density: 7.240 Mg/m³



Entry 2:
VASP calculation (PBE) on a geometry-optimized YTi2Tc structure.

POSCAR file:
```
YTi2Tc
1.0
0.000 3.317 3.317
3.317 0.000 3.317
3.317 3.317 0.000
Y Tc Ti
1 1 2
Direct
0.000 0.000 0.000
0.500 0.500 0.500
0.250 0.250 0.250
0.750 0.750 0.750
```

Values from the calculation:
* offset from the most stable computed form: 253 meV per atom
* ΔH_f (0 K): 0.5 eV per formula unit
* SG: Fm-3m
* density: 6.430 Mg/m³



Entry 3:
VASP calculation (PBE) on a geometry-optimized Ti2Zn2Tc structure.

POSCAR file:
```
Ti2Zn2Tc
1.0
-0.364 -0.559 6.568
0.440 -6.565 -0.535
3.717 0.231 0.226
Zn Tc Ti
4 2 4
Direct
0.146 0.646 0.500
0.646 0.854 0.500
0.854 0.354 0.500
0.354 0.146 0.500
0.000 0.000 0.000
0.500 0.500 0.000
0.345 0.845 0.000
0.845 0.655 0.000
0.655 0.155 0.000
0.155 0.345 0.000
```

Values from the calculation:
* offset from the most stable computed form: 401 meV per atom
* ΔH_f (0 K): 1.0 eV per formula unit
* SG: P4/mbm
* density: 6.628 Mg/m³



Entry 4:
VASP calculation (PBE) on a geometry-optimized Ti2ZnTc2 structure.

POSCAR file:
```
Ti2ZnTc2
1.0
6.977 0.000 0.000
0.000 6.977 0.000
0.000 0.000 3.258
Zn Tc Ti
2 4 4
Direct
0.000 0.000 0.000
0.500 0.500 0.000
0.354 0.854 0.000
0.854 0.646 0.000
0.646 0.146 0.000
0.146 0.354 0.000
0.157 0.657 0.500
0.657 0.843 0.500
0.843 0.343 0.500
0.343 0.157 0.500
```

Values from the calculation:
* offset from the most stable computed form: 0 meV per atom
* ΔH_f (0 K): -0.4 eV per formula unit
* SG: P4/mbm
* density: 7.479 Mg/m³



Entry 5:
VASP calculation (PBE) on a geometry-optimized Ti4ZnTc structure.

POSCAR file:
```
Ti4ZnTc
1.0
4.381 0.000 0.000
2.190 3.799 0.229
2.190 0.881 6.747
Ti Zn Tc
4 1 1
Direct
0.631 0.632 0.106
0.369 0.368 0.894
0.122 0.121 0.635
0.878 0.879 0.365
0.500 0.500 0.500
0.000 0.000 0.000
```

Values from the calculation:
* offset from the most stable computed form: 474 meV per atom
* ΔH_f (0 K): 1.3 eV per formula unit
* SG: C2/m
* density: 5.290 Mg/m³



Entry 6:
VASP calculation (PBE) on a geometry-optimized Ti2Zn2Tc structure.

POSCAR file:
```
Ti2Zn2Tc
1.0
-0.527 -0.376 -3.223
3.229 0.259 -0.559
2.099 -7.720 -1.120
Zn Tc Ti
2 1 2
Direct
0.750 0.250 0.500
0.250 0.750 0.500
0.000 0.000 0.000
0.410 0.410 0.180
0.590 0.590 0.820
```

Values from the calculation:
* offset from the most stable computed form: 305 meV per atom
* ΔH_f (0 K): 0.5 eV per formula unit
* SG: I4/mmm
* density: 6.445 Mg/m³



Entry 7:
VASP calculation (PBE) on a geometry-optimized TiZn2Tc structure.

POSCAR file:
```
TiZn2Tc
1.0
3.630 0.000 0.000
0.000 3.630 0.000
1.815 1.815 9.680
Zn Tc Ti
4 2 2
Direct
0.638 0.125 0.250
0.112 0.625 0.250
0.375 0.362 0.750
0.875 0.888 0.750
0.000 0.000 0.000
0.750 0.250 0.500
0.500 0.500 0.000
0.250 0.750 0.500
```

Values from the calculation:
* offset from the most stable computed form: 423 meV per atom
* ΔH_f (0 K): 0.8 eV per formula unit
* SG: I-42d
* density: 7.203 Mg/m³



Entry 8:
VASP calculation (PBE) on a geometry-optimized Ti5Zn2Tc structure.

POSCAR file:
```
Ti5Zn2Tc
1.0
4.403 0.000 -1.210
-0.333 4.390 -1.210
-0.491 -0.530 6.825
Ti Zn Tc
5 2 1
Direct
0.500 0.500 0.000
0.880 0.380 0.760
0.380 0.880 0.760
0.120 0.620 0.240
0.620 0.120 0.240
0.749 0.749 0.497
0.251 0.251 0.503
0.000 0.000 0.000
```

Values from the calculation:
* ΔH_f (0 K): -1.7 eV per formula unit
* SG: I4/mmm
* density: 6.156 Mg/m³



Entry 9:
VASP calculation (PBE) on a geometry-optimized Ti6ZnTc structure.

POSCAR file:
```
Ti6ZnTc
1.0
-2.956 -0.276 3.108
3.110 0.083 2.966
-0.331 6.889 3.269
Ti Zn Tc
6 1 1
Direct
0.749 0.749 0.502
0.616 0.116 0.768
0.116 0.616 0.768
0.384 0.884 0.232
0.251 0.251 0.498
0.884 0.384 0.232
0.000 0.000 0.000
0.500 0.500 0.000
```

Values from the calculation:
* ΔH_f (0 K): -1.4 eV per formula unit
* SG: I4/mmm
* density: 5.785 Mg/m³



Entry 10:
VASP calculation (PBE) on a geometry-optimized Ti6Zn5Tc structure.

POSCAR file:
```
Ti6Zn5Tc
1.0
4.219 -0.025 1.405
0.034 6.279 0.011
0.007 -0.013 7.005
Zn Tc Ti
5 1 6
Direct
0.669 0.500 0.661
0.334 0.000 0.331
0.000 0.500 0.000
0.666 0.000 0.669
0.331 0.500 0.339
0.000 0.000 0.000
0.836 0.755 0.327
0.836 0.245 0.327
0.500 0.247 0.000
0.500 0.753 0.000
0.164 0.755 0.673
0.164 0.245 0.673
```

Values from the calculation:
* ΔH_f (0 K): -3.1 eV per formula unit
* SG: Cmmm
* density: 6.377 Mg/m³



Entry 11:
VASP calculation (PBE) on a geometry-optimized Ti4ZnTc2 structure.

POSCAR file:
```
Ti4ZnTc2
1.0
-0.620 -4.261 1.606
1.005 -1.709 -4.147
6.184 -3.266 0.297
Zn Tc Ti
1 2 4
Direct
0.000 0.000 0.000
0.384 0.384 0.233
0.616 0.616 0.767
0.200 0.200 0.600
0.800 0.800 0.400
0.000 0.500 0.000
0.500 0.000 0.000
```

Values from the calculation:
* ΔH_f (0 K): 4.4 eV per formula unit
* SG: I4/mmm
* density: 5.743 Mg/m³



Entry 12:
VASP calculation (PBE) on a geometry-optimized TiZn2Tc structure.

POSCAR file:
```
TiZn2Tc
1.0
-3.976 1.141 -0.918
-0.880 -3.545 -0.593
-0.928 -0.366 3.563
Zn Tc Ti
2 1 1
Direct
0.000 0.000 0.500
0.000 0.500 0.000
0.500 0.500 0.500
0.500 0.000 0.000
```

Values from the calculation:
* offset from the most stable computed form: 0 meV per atom
* ΔH_f (0 K): -0.9 eV per formula unit
* SG: P4/mmm
* density: 7.921 Mg/m³



Which of these has the lowest density? Ti4ZnTc



density of number 1 (YTiTc3)? 7.240 Mg/m³



Please write out number 1 again, unchanged.
VASP calculation (PBE) on a geometry-optimized YTiTc3 structure.

POSCAR file:
```
YTiTc3
1.0
-2.490 -3.890 -0.208
3.292 -2.233 2.356
-2.083 1.121 3.972
Y Tc Ti
1 3 1
Direct
0.500 0.500 0.500
0.000 0.500 0.000
0.000 0.000 0.500
0.500 0.000 0.000
0.000 0.000 0.000
```

Values from the calculation:
* offset from the most stable computed form: 0 meV per atom
* ΔH_f (0 K): 3.6 eV per formula unit
* SG: Pm-3m
* density: 7.240 Mg/m³



Number 6 is which compound? Ti2Zn2Tc